## 1
# Nb2OsF GGA-PBE optimized geometry
# Density of states at the Fermi level = 11.1 states/eV per cell
data_Nb2OsF
_chemical_formula_sum 'Nb8 Os4 F4'
_cell_length_a 4.773
_cell_length_b 4.773
_cell_length_c 12.983
_cell_angle_alpha 90.00
_cell_angle_beta 90.00
_cell_angle_gamma 90.00
_symmetry_space_group_name_H-M 'P 1'
_symmetry_Int_Tables_number 1
loop_
_symmetry_equiv_pos_as_xyz
'x,y,z'
loop_
_atom_site_label
_atom_site_type_symbol
_atom_site_fract_x
_atom_site_fract_y
_atom_site_fract_z
Nb1 Nb 0.188 0.250 0.125
Nb2 Nb 0.250 0.688 0.375
Nb3 Nb 0.250 0.812 0.875
Nb4 Nb 0.312 0.250 0.625
Nb5 Nb 0.688 0.750 0.625
Nb6 Nb 0.750 0.188 0.875
Nb7 Nb 0.750 0.312 0.375
Nb8 Nb 0.812 0.750 0.125
Os1 Os 0.000 0.000 0.500
Os2 Os 0.000 0.500 0.750
Os3 Os 0.500 0.000 0.250
Os4 Os 0.500 0.500 0.000
F1 F 0.000 0.000 0.000
F2 F 0.000 0.500 0.250
F3 F 0.500 0.000 0.750
F4 F 0.500 0.500 0.500


## 2
# Nb2OsF GGA-PBE optimized geometry
# Density of states at the Fermi level = 20.8 states/eV per cell
data_Nb2OsF
_chemical_formula_sum 'Nb8 Os4 F4'
_cell_length_a 6.287
_cell_length_b 6.287
_cell_length_c 6.287
_cell_angle_alpha 90.00
_cell_angle_beta 90.00
_cell_angle_gamma 90.00
_symmetry_space_group_name_H-M 'P 1'
_symmetry_Int_Tables_number 1
loop_
_symmetry_equiv_pos_as_xyz
'x,y,z'
loop_
_atom_site_label
_atom_site_type_symbol
_atom_site_fract_x
_atom_site_fract_y
_atom_site_fract_z
Nb1 Nb 0.250 0.250 0.250
Nb2 Nb 0.250 0.250 0.750
Nb3 Nb 0.250 0.750 0.250
Nb4 Nb 0.250 0.750 0.750
Nb5 Nb 0.750 0.250 0.250
Nb6 Nb 0.750 0.250 0.750
Nb7 Nb 0.750 0.750 0.250
Nb8 Nb 0.750 0.750 0.750
Os1 Os 0.000 0.000 0.000
Os2 Os 0.000 0.500 0.500
Os3 Os 0.500 0.000 0.500
Os4 Os 0.500 0.500 0.000
F1 F 0.000 0.000 0.500
F2 F 0.000 0.500 0.000
F3 F 0.500 0.000 0.000
F4 F 0.500 0.500 0.500


The most stable of them is 2.


## 1
# NbOsF2 GGA-PBE optimized geometry
# Density of states at the Fermi level = 11.2 states/eV per cell
data_NbOsF2
_chemical_formula_sum 'Nb4 Os4 F8'
_cell_length_a 5.990
_cell_length_b 5.990
_cell_length_c 5.990
_cell_angle_alpha 90.00
_cell_angle_beta 90.00
_cell_angle_gamma 90.00
_symmetry_space_group_name_H-M 'P 1'
_symmetry_Int_Tables_number 1
loop_
_symmetry_equiv_pos_as_xyz
'x,y,z'
loop_
_atom_site_label
_atom_site_type_symbol
_atom_site_fract_x
_atom_site_fract_y
_atom_site_fract_z
Nb1 Nb 0.000 0.000 0.000
Nb2 Nb 0.000 0.500 0.500
Nb3 Nb 0.500 0.000 0.500
Nb4 Nb 0.500 0.500 0.000
Os1 Os 0.000 0.000 0.500
Os2 Os 0.000 0.500 0.000
Os3 Os 0.500 0.000 0.000
Os4 Os 0.500 0.500 0.500
F1 F 0.250 0.250 0.250
F2 F 0.250 0.250 0.750
F3 F 0.250 0.750 0.250
F4 F 0.250 0.750 0.750
F5 F 0.750 0.250 0.250
F6 F 0.750 0.250 0.750
F7 F 0.750 0.750 0.250
F8 F 0.750 0.750 0.750


## 2
# NbOsF2 GGA-PBE optimized geometry
# Density of states at the Fermi level = 7.6 states/eV per cell
data_NbOsF2
_chemical_formula_sum 'Nb3 Os3 F6'
_cell_length_a 2.716
_cell_length_b 2.716
_cell_length_c 31.848
_cell_angle_alpha 90.00
_cell_angle_beta 90.00
_cell_angle_gamma 120.00
_symmetry_space_group_name_H-M 'P 1'
_symmetry_Int_Tables_number 1
loop_
_symmetry_equiv_pos_as_xyz
'x,y,z'
loop_
_atom_site_label
_atom_site_type_symbol
_atom_site_fract_x
_atom_site_fract_y
_atom_site_fract_z
Nb1 Nb 0.000 0.000 0.000
Nb2 Nb 0.333 0.667 0.667
Nb3 Nb 0.667 0.333 0.333
Os1 Os 0.000 0.000 0.500
Os2 Os 0.333 0.667 0.167
Os3 Os 0.667 0.333 0.833
F1 F 0.000 0.000 0.382
F2 F 0.000 0.000 0.618
F3 F 0.333 0.667 0.048
F4 F 0.333 0.667 0.285
F5 F 0.667 0.333 0.715
F6 F 0.667 0.333 0.952


## 3
# NbOsF2 GGA-PBE optimized geometry
# Density of states at the Fermi level = 10.9 states/eV per cell
data_NbOsF2
_chemical_formula_sum 'Nb4 Os4 F8'
_cell_length_a 3.681
_cell_length_b 3.681
_cell_length_c 16.039
_cell_angle_alpha 90.00
_cell_angle_beta 90.00
_cell_angle_gamma 90.00
_symmetry_space_group_name_H-M 'P 1'
_symmetry_Int_Tables_number 1
loop_
_symmetry_equiv_pos_as_xyz
'x,y,z'
loop_
_atom_site_label
_atom_site_type_symbol
_atom_site_fract_x
_atom_site_fract_y
_atom_site_fract_z
Nb1 Nb 0.000 0.000 0.000
Nb2 Nb 0.000 0.500 0.250
Nb3 Nb 0.500 0.000 0.750
Nb4 Nb 0.500 0.500 0.500
Os1 Os 0.000 0.000 0.500
Os2 Os 0.000 0.500 0.750
Os3 Os 0.500 0.000 0.250
Os4 Os 0.500 0.500 0.000
F1 F 0.235 0.250 0.125
F2 F 0.250 0.735 0.375
F3 F 0.250 0.765 0.875
F4 F 0.265 0.250 0.625
F5 F 0.735 0.750 0.625
F6 F 0.750 0.235 0.875
F7 F 0.750 0.265 0.375
F8 F 0.765 0.750 0.125


The most stable of them is 2.


## 1
# Nb3OsF GGA-PBE optimized geometry
# Density of states at the Fermi level = 4.0 states/eV per cell
data_Nb3OsF
_chemical_formula_sum 'Nb3 Os1 F1'
_cell_length_a 4.888
_cell_length_b 4.888
_cell_length_c 4.888
_cell_angle_alpha 90.00
_cell_angle_beta 90.00
_cell_angle_gamma 90.00
_symmetry_space_group_name_H-M 'P 1'
_symmetry_Int_Tables_number 1
loop_
_symmetry_equiv_pos_as_xyz
'x,y,z'
loop_
_atom_site_label
_atom_site_type_symbol
_atom_site_fract_x
_atom_site_fract_y
_atom_site_fract_z
Nb1 Nb 0.000 0.000 0.500
Nb2 Nb 0.000 0.500 0.000
Nb3 Nb 0.500 0.000 0.000
Os1 Os 0.000 0.000 0.000
F1 F 0.500 0.500 0.500


## 2
# Nb3OsF GGA-PBE optimized geometry
# Density of states at the Fermi level = 3.9 states/eV per cell
data_Nb3OsF
_chemical_formula_sum 'Nb3 Os1 F1'
_cell_length_a 4.271
_cell_length_b 4.271
_cell_length_c 4.271
_cell_angle_alpha 90.00
_cell_angle_beta 90.00
_cell_angle_gamma 90.00
_symmetry_space_group_name_H-M 'P 1'
_symmetry_Int_Tables_number 1
loop_
_symmetry_equiv_pos_as_xyz
'x,y,z'
loop_
_atom_site_label
_atom_site_type_symbol
_atom_site_fract_x
_atom_site_fract_y
_atom_site_fract_z
Nb1 Nb 0.000 0.000 0.500
Nb2 Nb 0.000 0.500 0.000
Nb3 Nb 0.500 0.000 0.000
Os1 Os 0.500 0.500 0.500
F1 F 0.000 0.000 0.000


The most stable of them is 2.


## 1
# NbOs2F GGA-PBE optimized geometry
# Density of states at the Fermi level = 12.2 states/eV per cell
data_NbOs2F
_chemical_formula_sum 'Nb4 Os8 F4'
_cell_length_a 6.957
_cell_length_b 6.957
_cell_length_c 4.930
_cell_angle_alpha 90.00
_cell_angle_beta 90.00
_cell_angle_gamma 90.00
_symmetry_space_group_name_H-M 'P 1'
_symmetry_Int_Tables_number 1
loop_
_symmetry_equiv_pos_as_xyz
'x,y,z'
loop_
_atom_site_label
_atom_site_type_symbol
_atom_site_fract_x
_atom_site_fract_y
_atom_site_fract_z
Nb1 Nb 0.000 0.000 0.000
Nb2 Nb 0.000 0.500 0.250
Nb3 Nb 0.500 0.000 0.750
Nb4 Nb 0.500 0.500 0.500
Os1 Os 0.210 0.250 0.625
Os2 Os 0.250 0.710 0.875
Os3 Os 0.250 0.790 0.375
Os4 Os 0.290 0.250 0.125
Os5 Os 0.710 0.750 0.125
Os6 Os 0.750 0.210 0.375
Os7 Os 0.750 0.290 0.875
Os8 Os 0.790 0.750 0.625
F1 F 0.000 0.000 0.500
F2 F 0.000 0.500 0.750
F3 F 0.500 0.000 0.250
F4 F 0.500 0.500 0.000


## 2
# NbOs2F GGA-PBE optimized geometry
# Density of states at the Fermi level = 19.9 states/eV per cell
data_NbOs2F
_chemical_formula_sum 'Nb4 Os8 F4'
_cell_length_a 6.197
_cell_length_b 6.197
_cell_length_c 6.197
_cell_angle_alpha 90.00
_cell_angle_beta 90.00
_cell_angle_gamma 90.00
_symmetry_space_group_name_H-M 'P 1'
_symmetry_Int_Tables_number 1
loop_
_symmetry_equiv_pos_as_xyz
'x,y,z'
loop_
_atom_site_label
_atom_site_type_symbol
_atom_site_fract_x
_atom_site_fract_y
_atom_site_fract_z
Nb1 Nb 0.000 0.000 0.000
Nb2 Nb 0.000 0.500 0.500
Nb3 Nb 0.500 0.000 0.500
Nb4 Nb 0.500 0.500 0.000
Os1 Os 0.250 0.250 0.250
Os2 Os 0.250 0.250 0.750
Os3 Os 0.250 0.750 0.250
Os4 Os 0.250 0.750 0.750
Os5 Os 0.750 0.250 0.250
Os6 Os 0.750 0.250 0.750
Os7 Os 0.750 0.750 0.250
Os8 Os 0.750 0.750 0.750
F1 F 0.000 0.000 0.500
F2 F 0.000 0.500 0.000
F3 F 0.500 0.000 0.000
F4 F 0.500 0.500 0.500


The most stable of them is 1.


## 1
# Nb2PF GGA-PBE optimized geometry
# Density of states at the Fermi level = 10.8 states/eV per cell
data_Nb2PF
_chemical_formula_sum 'Nb8 P4 F4'
_cell_length_a 6.434
_cell_length_b 6.434
_cell_length_c 5.812
_cell_angle_alpha 90.00
_cell_angle_beta 90.00
_cell_angle_gamma 90.00
_symmetry_space_group_name_H-M 'P 1'
_symmetry_Int_Tables_number 1
loop_
_symmetry_equiv_pos_as_xyz
'x,y,z'
loop_
_atom_site_label
_atom_site_type_symbol
_atom_site_fract_x
_atom_site_fract_y
_atom_site_fract_z
Nb1 Nb 0.208 0.250 0.125
Nb2 Nb 0.250 0.708 0.375
Nb3 Nb 0.250 0.792 0.875
Nb4 Nb 0.292 0.250 0.625
Nb5 Nb 0.708 0.750 0.625
Nb6 Nb 0.750 0.208 0.875
Nb7 Nb 0.750 0.292 0.375
Nb8 Nb 0.792 0.750 0.125
P1 P 0.000 0.000 0.500
P2 P 0.000 0.500 0.750
P3 P 0.500 0.000 0.250
P4 P 0.500 0.500 0.000
F1 F 0.000 0.000 0.000
F2 F 0.000 0.500 0.250
F3 F 0.500 0.000 0.750
F4 F 0.500 0.500 0.500


## 2
# Nb2PF GGA-PBE optimized geometry
# Density of states at the Fermi level = 9.6 states/eV per cell
data_Nb2PF
_chemical_formula_sum 'Nb8 P4 F4'
_cell_length_a 6.103
_cell_length_b 6.103
_cell_length_c 6.103
_cell_angle_alpha 90.00
_cell_angle_beta 90.00
_cell_angle_gamma 90.00
_symmetry_space_group_name_H-M 'P 1'
_symmetry_Int_Tables_number 1
loop_
_symmetry_equiv_pos_as_xyz
'x,y,z'
loop_
_atom_site_label
_atom_site_type_symbol
_atom_site_fract_x
_atom_site_fract_y
_atom_site_fract_z
Nb1 Nb 0.250 0.250 0.250
Nb2 Nb 0.250 0.250 0.750
Nb3 Nb 0.250 0.750 0.250
Nb4 Nb 0.250 0.750 0.750
Nb5 Nb 0.750 0.250 0.250
Nb6 Nb 0.750 0.250 0.750
Nb7 Nb 0.750 0.750 0.250
Nb8 Nb 0.750 0.750 0.750
P1 P 0.000 0.000 0.000
P2 P 0.000 0.500 0.500
P3 P 0.500 0.000 0.500
P4 P 0.500 0.500 0.000
F1 F 0.000 0.000 0.500
F2 F 0.000 0.500 0.000
F3 F 0.500 0.000 0.000
F4 F 0.500 0.500 0.500


The most stable of them is 2.


## 1
# Nb2P2F GGA-PBE optimized geometry
# Density of states at the Fermi level = 7.4 states/eV per cell
data_Nb2P2F
_chemical_formula_sum 'Nb4 P4 F2'
_cell_length_a 7.024
_cell_length_b 7.024
_cell_length_c 3.143
_cell_angle_alpha 90.00
_cell_angle_beta 90.00
_cell_angle_gamma 90.00
_symmetry_space_group_name_H-M 'P 1'
_symmetry_Int_Tables_number 1
loop_
_symmetry_equiv_pos_as_xyz
'x,y,z'
loop_
_atom_site_label
_atom_site_type_symbol
_atom_site_fract_x
_atom_site_fract_y
_atom_site_fract_z
Nb1 Nb 0.150 0.350 0.000
Nb2 Nb 0.350 0.850 0.000
Nb3 Nb 0.650 0.150 0.000
Nb4 Nb 0.850 0.650 0.000
P1 P 0.138 0.638 0.500
P2 P 0.362 0.138 0.500
P3 P 0.638 0.862 0.500
P4 P 0.862 0.362 0.500
F1 F 0.000 0.000 0.500
F2 F 0.500 0.500 0.500


## 2
# Nb2P2F GGA-PBE optimized geometry
# Density of states at the Fermi level = 8.5 states/eV per cell
data_Nb2P2F
_chemical_formula_sum 'Nb4 P4 F2'
_cell_length_a 4.375
_cell_length_b 4.375
_cell_length_c 9.324
_cell_angle_alpha 90.00
_cell_angle_beta 90.00
_cell_angle_gamma 90.00
_symmetry_space_group_name_H-M 'P 1'
_symmetry_Int_Tables_number 1
loop_
_symmetry_equiv_pos_as_xyz
'x,y,z'
loop_
_atom_site_label
_atom_site_type_symbol
_atom_site_fract_x
_atom_site_fract_y
_atom_site_fract_z
Nb1 Nb 0.000 0.500 0.250
Nb2 Nb 0.000 0.500 0.750
Nb3 Nb 0.500 0.000 0.250
Nb4 Nb 0.500 0.000 0.750
P1 P 0.000 0.000 0.124
P2 P 0.000 0.000 0.876
P3 P 0.500 0.500 0.376
P4 P 0.500 0.500 0.624
F1 F 0.000 0.000 0.500
F2 F 0.500 0.500 0.000


The most stable of them is 1.